SrYMo2: relaxed, PBE.

The value obtained for the density of states at the Fermi level is 0.979 states/eV per atom. The total energy is -51.8 eV for the cell shown. The calculation puts the formation energy from the elements at 0.979 eV/atom.

It has space group C2/m (No. 12), with a = 5.888 Å, b = 10.256 Å, c = 2.927 Å, α = 90.00°, β = 90.24° and γ = 90.00°. Symmetry generates all atoms from Sr at (0.000, 0.000, 0.000), Y at (0.000, 0.500, 0.000) and Mo at (0.250, 0.250, 0.500).


SrYMo2: relaxed, PBE.

The value obtained for the density of states at the Fermi level is 1.132 states/eV per atom. The total energy is -51.5 eV for the cell shown. The calculation puts the formation energy from the elements at 1.013 eV/atom.

It has space group Immm (No. 71), with a = 4.161 Å, b = 4.197 Å, c = 10.151 Å, α = 90.00°, β = 90.00° and γ = 90.00°. Symmetry generates all atoms from Sr at (0.000, 0.000, 0.000), Y at (0.000, 0.000, 0.500) and Mo at (0.000, 0.500, 0.250).


SrY2Mo: relaxed, PBE.

The value obtained for the density of states at the Fermi level is 0.880 states/eV per atom. The total energy is -45.5 eV for the cell shown. The calculation puts the formation energy from the elements at 0.672 eV/atom.

It has space group I-4m2 (No. 119), with a = 4.807 Å, b = 4.807 Å, c = 9.661 Å, α = 90.00°, β = 90.00° and γ = 90.00°. Symmetry generates all atoms from Sr at (0.000, 0.000, 0.000), Y at (0.000, 0.000, 0.500), Y at (0.000, 0.500, 0.750) and Mo at (0.000, 0.500, 0.250).